[1]
14
Lattice="4.009 -4.069 0.000 4.009 4.069 0.000 -3.997 0.000 4.026" Properties=species:S:1:pos:R:3 comment="PBE-GGA LiH4Pd2, optimized geometry" de_polymorph_mev_per_atom=27 pbc="T T T"
Li 1.012 3.052 3.020
Li 3.010 -3.052 1.007
H 2.152 0.187 0.168
H 2.162 1.843 1.847
H 3.858 1.843 0.166
H 0.153 -0.187 2.181
H 3.869 0.187 1.845
H 0.163 -1.843 3.860
H 1.860 -1.843 2.179
H 1.870 -0.187 3.858
Pd 2.005 2.034 0.000
Pd 0.006 -2.034 2.013
Pd 4.009 0.000 0.000
Pd 2.011 0.000 2.013

=====

[2]
20
Lattice="9.079 0.000 0.000 0.000 9.079 0.000 0.000 0.000 3.024" Properties=species:S:1:pos:R:3 comment="PBE-GGA Y2AlCo5B2, optimized geometry" delta_e_f_ev_per_atom=-0.400 pbc="T T T"
Y 1.619 2.921 0.000
Y 2.921 7.460 0.000
Y 6.158 1.619 0.000
Y 7.460 6.158 0.000
Al 0.000 0.000 0.000
Al 4.539 4.539 0.000
Co 0.000 4.539 1.512
Co 0.616 7.003 1.512
Co 2.076 0.616 1.512
Co 2.464 5.155 1.512
Co 3.923 2.464 1.512
Co 4.539 0.000 1.512
Co 5.155 6.615 1.512
Co 6.615 3.923 1.512
Co 7.003 8.463 1.512
Co 8.463 2.076 1.512
B 1.071 5.610 0.000
B 3.468 1.071 0.000
B 5.610 8.008 0.000
B 8.008 3.468 0.000

=====

[3]
16
Lattice="8.779 0.000 0.000 0.000 10.045 0.000 -2.838 0.000 8.131" Properties=species:S:1:pos:R:3 comment="PBE-GGA Ba4GeI3, optimized geometry" raw_formation_energy_ev_per_atom=-1.2412 pbc="T T T"
Ba 1.895 1.062 0.016
Ba 0.476 8.982 4.082
Ba 0.655 3.539 3.863
Ba -0.764 6.505 7.929
Ba 6.704 3.539 0.203
Ba 5.285 6.505 4.268
Ba 5.464 1.062 4.050
Ba 4.045 8.982 8.115
Ge -0.710 1.299 2.033
Ge -2.129 8.745 6.098
I -2.129 3.781 6.098
I -0.710 6.264 2.033
I 2.261 1.317 6.098
I 3.680 3.825 2.033
I 2.261 6.220 6.098
I 3.680 8.727 2.033

=====

[4]
4
Lattice="0.000 3.447 3.447 3.447 0.000 3.447 3.447 3.447 0.000" Properties=species:S:1:pos:R:3 comment="PBE-GGA ErMgTiZn, optimized geometry" delta_e_f_ev_per_atom=0.025 pbc="T T T"
Er 0.000 0.000 0.000
Mg 5.170 5.170 5.170
Ti 3.447 3.447 3.447
Zn 1.723 1.723 1.723